Cs2AgBr3 at its PBEsol-relaxed geometry, computed with SCAN.

Unit cell a=14.090 b=4.820 c=14.657 alpha=90.00 beta=90.00 gamma=90.00
Fractional coordinates of all 24 atoms:
Cs 0.011 0.250 0.174
Cs 0.172 0.250 0.519
Cs 0.328 0.750 0.019
Cs 0.489 0.750 0.674
Cs 0.511 0.250 0.326
Cs 0.672 0.250 0.981
Cs 0.828 0.750 0.481
Cs 0.989 0.750 0.826
Ag 0.245 0.750 0.304
Ag 0.255 0.250 0.804
Ag 0.745 0.750 0.196
Ag 0.755 0.250 0.696
Br 0.060 0.750 0.360
Br 0.138 0.250 0.951
Br 0.225 0.750 0.712
Br 0.275 0.250 0.212
Br 0.362 0.750 0.451
Br 0.440 0.250 0.860
Br 0.560 0.750 0.140
Br 0.638 0.250 0.549
Br 0.725 0.750 0.788
Br 0.775 0.250 0.288
Br 0.862 0.750 0.049
Br 0.940 0.250 0.640

Summary:
VASP energy	-697.10	eV for the cell shown
crystal system	orthorhombic
spin magnetization	0.0008	μB per atom
uncorrected formation energy	-34.236	kcal/mol of atoms

---

Ta2AsPt at its PBEsol-relaxed geometry, computed with SCAN.

Unit cell a=4.891 b=4.891 c=4.947 alpha=97.43 beta=97.43 gamma=34.24
Fractional coordinates of all 4 atoms:
Ta 0.244 0.244 0.241
Ta 0.756 0.756 0.759
As 0.000 0.000 0.500
Pt 0.500 0.500 0.000

Summary:
VASP energy	-224.31	eV for the cell shown
crystal system	monoclinic
spin magnetization	0.0000	μB per atom
calculated formation energy	-18	kJ per mole of atoms